GeAs2HBr: relaxed, PBE.

The structure in CIF format:
```
data_GeAs2HBr
_cell_length_a 4.033
_cell_length_b 4.033
_cell_length_c 5.871
_cell_angle_alpha 90.00
_cell_angle_beta 90.00
_cell_angle_gamma 90.00
_space_group_name_H-M_alt 'P 4/m m m'
_space_group_IT_number 123
_space_group_name_Hall '-P 4 2'
loop_
_atom_site_label
_atom_site_type_symbol
_atom_site_fract_x
_atom_site_fract_y
_atom_site_fract_z
Ge1 Ge 0.000 0.000 0.000
As1 As 0.000 0.500 0.500
H1 H 0.500 0.500 0.500
Br1 Br 0.500 0.500 0.000
```

Results
ρ = 5.28 g cm⁻³
polymorph energy (0 for the lowest one) = 0 meV/atom
N(E_F) = 1.98 states/eV per cell
E = -16.41 eV/cell

GeAsHBr2: relaxed, PBE.

The structure in CIF format:
```
data_GeAsHBr2
_cell_length_a 5.423
_cell_length_b 5.423
_cell_length_c 5.175
_cell_angle_alpha 90.00
_cell_angle_beta 90.00
_cell_angle_gamma 90.00
_space_group_name_H-M_alt 'P 4/m m m'
_space_group_IT_number 123
_space_group_name_Hall '-P 4 2'
loop_
_atom_site_label
_atom_site_type_symbol
_atom_site_fract_x
_atom_site_fract_y
_atom_site_fract_z
Ge1 Ge 0.000 0.000 0.000
As1 As 0.000 0.000 0.500
H1 H 0.500 0.500 0.500
Br1 Br 0.000 0.500 0.000
```

Results
ρ = 3.36 g cm⁻³
polymorph energy (0 for the lowest one) = 184 meV/atom
N(E_F) = 2.54 states/eV per cell
E = -12.89 eV/cell

GeAsHBr2: relaxed, PBE.

The structure in CIF format:
```
data_GeAsHBr2
_cell_length_a 5.264
_cell_length_b 5.264
_cell_length_c 3.573
_cell_angle_alpha 90.00
_cell_angle_beta 90.00
_cell_angle_gamma 90.00
_space_group_name_H-M_alt 'P 4/m m m'
_space_group_IT_number 123
_space_group_name_Hall '-P 4 2'
loop_
_atom_site_label
_atom_site_type_symbol
_atom_site_fract_x
_atom_site_fract_y
_atom_site_fract_z
Ge1 Ge 0.000 0.000 0.000
As1 As 0.500 0.500 0.000
H1 H 0.500 0.500 0.500
Br1 Br 0.000 0.500 0.500
```

Results
ρ = 5.17 g cm⁻³
polymorph energy (0 for the lowest one) = 0 meV/atom
N(E_F) = 1.72 states/eV per cell
E = -13.81 eV/cell

GeAs2HBr: relaxed, PBE.

The structure in CIF format:
```
data_GeAs2HBr
_cell_length_a 5.055
_cell_length_b 5.055
_cell_length_c 5.561
_cell_angle_alpha 90.00
_cell_angle_beta 90.00
_cell_angle_gamma 90.00
_space_group_name_H-M_alt 'P 4/m m m'
_space_group_IT_number 123
_space_group_name_Hall '-P 4 2'
loop_
_atom_site_label
_atom_site_type_symbol
_atom_site_fract_x
_atom_site_fract_y
_atom_site_fract_z
Ge1 Ge 0.000 0.000 0.000
As1 As 0.000 0.500 0.000
H1 H 0.500 0.500 0.500
Br1 Br 0.000 0.000 0.500
```

Results
ρ = 3.55 g cm⁻³
polymorph energy (0 for the lowest one) = 495 meV/atom
N(E_F) = 3.50 states/eV per cell
E = -13.94 eV/cell

HfGeAs2Br: relaxed, PBE.

The structure in CIF format:
```
data_HfGeAs2Br
_cell_length_a 4.925
_cell_length_b 4.925
_cell_length_c 4.921
_cell_angle_alpha 90.00
_cell_angle_beta 90.00
_cell_angle_gamma 90.00
_space_group_name_H-M_alt 'P 4/m m m'
_space_group_IT_number 123
_space_group_name_Hall '-P 4 2'
loop_
_atom_site_label
_atom_site_type_symbol
_atom_site_fract_x
_atom_site_fract_y
_atom_site_fract_z
Hf1 Hf 0.000 0.000 0.000
Ge1 Ge 0.500 0.500 0.500
As1 As 0.000 0.500 0.500
Br1 Br 0.500 0.500 0.000
```

Results
ρ = 6.69 g cm⁻³
polymorph energy (0 for the lowest one) = 463 meV/atom
N(E_F) = 1.90 states/eV per cell
E = -22.51 eV/cell
formation energy from raw total energies = 606 meV per atom

HfGeAs2Br: relaxed, PBE.

The structure in CIF format:
```
data_HfGeAs2Br
_cell_length_a 4.955
_cell_length_b 4.955
_cell_length_c 4.960
_cell_angle_alpha 90.00
_cell_angle_beta 90.00
_cell_angle_gamma 90.00
_space_group_name_H-M_alt 'P 4/m m m'
_space_group_IT_number 123
_space_group_name_Hall '-P 4 2'
loop_
_atom_site_label
_atom_site_type_symbol
_atom_site_fract_x
_atom_site_fract_y
_atom_site_fract_z
Hf1 Hf 0.000 0.000 0.000
Ge1 Ge 0.500 0.500 0.000
As1 As 0.000 0.500 0.500
Br1 Br 0.500 0.500 0.500
```

Results
ρ = 6.56 g cm⁻³
polymorph energy (0 for the lowest one) = 891 meV/atom
N(E_F) = 2.43 states/eV per cell
E = -20.37 eV/cell
formation energy from raw total energies = 1034 meV per atom

HfGeAsBr2: relaxed, PBE.

The structure in CIF format:
```
data_HfGeAsBr2
_cell_length_a 5.170
_cell_length_b 5.170
_cell_length_c 5.361
_cell_angle_alpha 90.00
_cell_angle_beta 90.00
_cell_angle_gamma 90.00
_space_group_name_H-M_alt 'P 4/m m m'
_space_group_IT_number 123
_space_group_name_Hall '-P 4 2'
loop_
_atom_site_label
_atom_site_type_symbol
_atom_site_fract_x
_atom_site_fract_y
_atom_site_fract_z
Hf1 Hf 0.000 0.000 0.000
Ge1 Ge 0.500 0.500 0.500
As1 As 0.000 0.000 0.500
Br1 Br 0.000 0.500 0.000
```

Results
ρ = 5.63 g cm⁻³
polymorph energy (0 for the lowest one) = 0 meV/atom
N(E_F) = 2.90 states/eV per cell
E = -22.84 eV/cell
formation energy from raw total energies = -54 meV per atom

HfGeAs2Br: relaxed, PBE.

The structure in CIF format:
```
data_HfGeAs2Br
_cell_length_a 5.216
_cell_length_b 5.216
_cell_length_c 5.131
_cell_angle_alpha 90.00
_cell_angle_beta 90.00
_cell_angle_gamma 90.00
_space_group_name_H-M_alt 'P 4/m m m'
_space_group_IT_number 123
_space_group_name_Hall '-P 4 2'
loop_
_atom_site_label
_atom_site_type_symbol
_atom_site_fract_x
_atom_site_fract_y
_atom_site_fract_z
Hf1 Hf 0.000 0.000 0.000
Ge1 Ge 0.500 0.500 0.500
As1 As 0.000 0.500 0.000
Br1 Br 0.000 0.000 0.500
```

Results
ρ = 5.72 g cm⁻³
polymorph energy (0 for the lowest one) = 0 meV/atom
N(E_F) = 3.21 states/eV per cell
E = -24.83 eV/cell
formation energy from raw total energies = 143 meV per atom